Version one
The following is a DFT calculation (PBEsol) of a relaxed structure of ReAgPt2.

abc: 5.5524 7.9472 2.7184
angles: 90.00 90.00 90.00
Closest atoms and distances in Å follow each position.
Space group Cmmm (No. 65)
Inequivalent atoms, fractional coordinates:
1 Re 0.0000 0.0000 0.0000  2 Re 2.72, 2 Ag 2.78, 8 Pt 2.78
2 Ag 0.0000 0.5000 0.0000  2 Ag 2.72, 2 Re 2.78, 8 Pt 2.78
3 Pt 0.2500 0.2500 0.5000  4 Pt 2.72-2.78, 4 Re 2.78, 4 Ag 2.78

magnetization = 0.00 Bohr magnetons per cell
DOS at the Fermi energy = 6.99 states/eV per cell


Version two
The following is a DFT calculation (PBEsol) of a relaxed structure of ReAgPt2.

abc: 2.6988 4.3878 11.0722
angles: 90.00 90.00 90.00
Closest atoms and distances in Å follow each position.
Space group Imm2 (No. 44)
Inequivalent atoms, fractional coordinates:
1 Re 0.0000 0.0000 0.0000  6 Pt 2.53-2.68, 2 Re 2.70
2 Ag 0.0000 0.5000 0.7308  2 Ag 2.70, 6 Pt 2.71-2.84, 2 Re 2.89
3 Pt 0.0000 0.0000 0.5681  4 Re 2.68, 4 Pt 2.70-2.97, 2 Ag 2.84
4 Pt 0.0000 0.5000 0.3070  2 Re 2.53, 2 Pt 2.70, 4 Ag 2.71

magnetization = 0.00 Bohr magnetons per cell
DOS at the Fermi energy = 3.84 states/eV per cell


Least stable of them? version two.


Version one
The following is a DFT calculation (PBEsol) of a relaxed structure of Re2AgPt.

abc: 2.7286 3.9408 5.5978
angles: 90.00 91.02 90.00
Closest atoms and distances in Å follow each position.
Space group Pm (No. 6)
Inequivalent atoms, fractional coordinates:
1 Re 0.0000 0.0000 0.0000  6 Re 2.59-2.80, 2 Ag 2.74-2.86, 4 Pt 2.78-2.85
2 Re 0.4334 0.5000 0.2183  6 Re 2.59-2.80, 1 Pt 2.69, 4 Ag 2.81-2.86
3 Ag 0.9616 0.0000 0.4894  2 Ag 2.73, 6 Re 2.74-2.86, 4 Pt 2.76-2.78
4 Pt 0.4639 0.5000 0.7376  6 Re 2.69-2.91, 2 Pt 2.73, 4 Ag 2.76-2.78

magnetization = 0.00 Bohr magnetons per cell
DOS at the Fermi energy = 3.25 states/eV per cell


Version two
The following is a DFT calculation (PBEsol) of a relaxed structure of Re2AgPt.

abc: 3.9392 3.9392 7.6613
angles: 90.00 90.00 90.00
Closest atoms and distances in Å follow each position.
Space group I-4m2 (No. 119)
Inequivalent atoms, fractional coordinates:
1 Re 0.0000 0.0000 0.0000  4 Re 2.75, 4 Pt 2.75, 4 Ag 2.79
2 Re 0.0000 0.5000 0.2500  4 Re 2.75, 4 Ag 2.75, 4 Pt 2.79
3 Ag 0.0000 0.0000 0.5000  8 Re 2.75-2.79, 4 Pt 2.75
4 Pt 0.0000 0.5000 0.7500  8 Re 2.75-2.79, 4 Ag 2.75

magnetization = 0.00 Bohr magnetons per cell
DOS at the Fermi energy = 6.48 states/eV per cell


Least stable of them? version two.


Version one
The following is a DFT calculation (PBEsol) of a relaxed structure of AgPtRh2.

abc: 2.7204 2.7204 27.2118
angles: 90.00 90.00 120.00
Closest atoms and distances in Å follow each position.
Space group R3m (No. 160, hexagonal axes)
Inequivalent atoms, fractional coordinates:
1 Ag 0.0000 0.0000 0.0000  6 Ag 2.72, 3 Rh 2.82, 3 Pt 2.86
2 Pt 0.0000 0.0000 0.7545  6 Pt 2.72, 3 Rh 2.74, 3 Ag 2.86
3 Rh 0.0000 0.0000 0.2473  9 Rh 2.61-2.72, 3 Ag 2.82
4 Rh 0.0000 0.0000 0.5038  9 Rh 2.61-2.72, 3 Pt 2.74

magnetization = 0.01 Bohr magnetons per cell
DOS at the Fermi energy = 14.51 states/eV per cell


Version two
The following is a DFT calculation (PBEsol) of a relaxed structure of AgPtRh2.

abc: 2.7194 2.7194 7.8836
angles: 90.00 90.00 90.00
Closest atoms and distances in Å follow each position.
Space group P4mm (No. 99)
Inequivalent atoms, fractional coordinates:
1 Ag 0.0000 0.0000 0.0000  4 Ag 2.72, 4 Rh 2.84, 4 Pt 2.86
2 Pt 0.5000 0.5000 0.2693  4 Rh 2.72, 4 Pt 2.72, 4 Ag 2.86
3 Rh 0.0000 0.0000 0.5125  8 Rh 2.60-2.72, 4 Pt 2.72
4 Rh 0.5000 0.5000 0.7354  8 Rh 2.60-2.72, 4 Ag 2.84

magnetization = 0.00 Bohr magnetons per cell
DOS at the Fermi energy = 4.40 states/eV per cell


Least stable of them? version two.


Version one
The following is a DFT calculation (PBEsol) of a relaxed structure of AgPt2Rh.

abc: 2.7424 2.7424 7.9571
angles: 90.00 90.00 90.00
Closest atoms and distances in Å follow each position.
Space group P4/mmm (No. 123)
Inequivalent atoms, fractional coordinates:
1 Ag 0.0000 0.0000 0.0000  4 Ag 2.74, 8 Pt 2.87
2 Pt 0.5000 0.5000 0.2652  4 Rh 2.69, 4 Pt 2.74, 4 Ag 2.87
3 Rh 0.0000 0.0000 0.5000  8 Pt 2.69, 4 Rh 2.74

magnetization = 0.01 Bohr magnetons per cell
DOS at the Fermi energy = 5.62 states/eV per cell


Version two
The following is a DFT calculation (PBEsol) of a relaxed structure of AgPt2Rh.

abc: 3.9074 3.9074 7.7862
angles: 90.00 90.00 90.00
Closest atoms and distances in Å follow each position.
Space group I4/mmm (No. 139)
Inequivalent atoms, fractional coordinates:
1 Ag 0.0000 0.0000 0.0000  8 Pt 2.76, 4 Rh 2.76
2 Pt 0.0000 0.5000 0.2500  4 Rh 2.76, 4 Ag 2.76, 4 Pt 2.76
3 Rh 0.0000 0.0000 0.5000  8 Pt 2.76, 4 Ag 2.76

magnetization = 0.01 Bohr magnetons per cell
DOS at the Fermi energy = 11.06 states/eV per cell


Version three
The following is a DFT calculation (PBEsol) of a relaxed structure of AgPt2Rh.

abc: 2.7373 2.7373 27.5386
angles: 90.00 90.00 120.00
Closest atoms and distances in Å follow each position.
Space group R-3m (No. 166, hexagonal axes)
Inequivalent atoms, fractional coordinates:
1 Ag 0.0000 0.0000 0.0000  6 Ag 2.74, 6 Pt 2.86
2 Pt 0.0000 0.0000 0.2469  3 Rh 2.72, 6 Pt 2.74, 3 Ag 2.86
3 Rh 0.0000 0.0000 0.5000  6 Pt 2.72, 6 Rh 2.74

magnetization = 0.01 Bohr magnetons per cell
DOS at the Fermi energy = 16.29 states/eV per cell


Least stable of them? version two.